Record 1
Material: NpGe4Pd8
Method: DFT, PBE
State: relaxed

a b c (Å): 5.4875 6.8332 6.8332
angles (deg): 80.72 66.33 66.33
With the nearest neighbours (Å) after each atom.
Sites, in units of the cell vectors:
Pd 0.6705 0.3295 0.3295  4 Ge 2.70, 5 Pd 2.87-3.02, 1 Np 2.92
Ge 0.0000 0.5000 0.0000  8 Pd 2.61-2.70, 2 Ge 2.74
Ge 0.5000 0.0000 0.5000  8 Pd 2.61-2.70, 2 Ge 2.74
Np 0.0000 0.0000 0.0000  4 Pd 2.92
Pd 0.7236 0.7764 0.7764  4 Ge 2.61, 6 Pd 2.80-2.90
Pd 0.5000 0.2236 0.7764  4 Ge 2.61, 6 Pd 2.80-2.90
Pd 0.2764 0.2236 0.2236  4 Ge 2.61, 6 Pd 2.80-2.90
Ge 0.5000 0.5000 0.0000  8 Pd 2.61-2.70, 2 Ge 2.74
Pd 0.3295 0.6705 0.6705  4 Ge 2.70, 5 Pd 2.87-3.02, 1 Np 2.92
Pd 0.0000 0.6705 0.3295  4 Ge 2.70, 5 Pd 2.87-3.02, 1 Np 2.92
Ge 0.0000 0.0000 0.5000  8 Pd 2.61-2.70, 2 Ge 2.74
Pd 0.0000 0.3295 0.6705  4 Ge 2.70, 5 Pd 2.87-3.02, 1 Np 2.92
Pd 0.5000 0.7764 0.2236  4 Ge 2.61, 6 Pd 2.80-2.90

## Properties
Total energy = -5.981 eV/atom
Space group = I4/mmm (139)
Calculated volume = 16.53 Å³ per atom
Theoretical density = 10654 kg/m³

***

Record 2
Material: PmNpGePd
Method: DFT, PBE
State: relaxed

a b c (Å): 5.0865 5.0865 5.0865
angles (deg): 60.00 60.00 60.00
With the nearest neighbours (Å) after each atom.
Sites, in units of the cell vectors:
Pd 0.7500 0.7500 0.7500  4 Pm 3.11, 4 Np 3.11
Pm 0.5000 0.5000 0.5000  4 Pd 3.11, 4 Ge 3.11
Ge 0.2500 0.2500 0.2500  4 Pm 3.11, 4 Np 3.11
Np 0.0000 0.0000 0.0000  4 Ge 3.11, 4 Pd 3.11

## Properties
Total energy = -7.199 eV/atom
Space group = F-43m (216)
Calculated volume = 23.26 Å³ per atom
Theoretical density = 10012 kg/m³

***

Record 3
Material: Np2Ge4PdPt3
Method: DFT, PBE
State: relaxed

a b c (Å): 4.3161 4.3161 10.1704
angles (deg): 90.00 90.00 90.00
With the nearest neighbours (Å) after each atom.
Sites, in units of the cell vectors:
Pt 0.0000 0.5000 0.1276  5 Ge 2.44-2.52
Pt 0.0000 0.0000 0.5000  4 Ge 2.54
Np 0.5000 0.0000 0.2489  8 Ge 3.28-3.33, 6 Pt 3.29-3.34, 2 Pd 3.34
Ge 0.0000 0.5000 0.3677  3 Pt 2.44-2.54, 2 Pd 2.54
Ge 0.5000 0.0000 0.6323  3 Pt 2.44-2.54, 2 Pd 2.54
Np 0.0000 0.5000 0.7511  8 Ge 3.28-3.33, 6 Pt 3.29-3.34, 2 Pd 3.34
Ge 0.5000 0.5000 0.0000  4 Pt 2.52
Pd 0.5000 0.5000 0.5000  4 Ge 2.54
Ge 0.0000 0.0000 0.0000  4 Pt 2.52
Pt 0.5000 0.0000 0.8724  5 Ge 2.44-2.52

## Properties
Total energy = -7.294 eV/atom
Space group = P-4m2 (115)
Calculated volume = 18.95 Å³ per atom
Theoretical density = 12763 kg/m³

***

Record 4
Material: NpGe2Pd2Pt2
Method: DFT, PBE
State: relaxed

a b c (Å): 4.2210 4.2210 8.6828
angles (deg): 75.93 75.93 60.00
With the nearest neighbours (Å) after each atom.
Sites, in units of the cell vectors:
Ge 0.2376 0.2376 0.2871  3 Pt 2.52, 4 Pd 2.55-2.63
Np 0.0000 0.0000 0.0000  6 Pt 3.00
Ge 0.7624 0.7624 0.7129  3 Pt 2.52, 4 Pd 2.55-2.63
Pd 0.8643 0.8643 0.4071  4 Ge 2.55-2.63
Pt 0.4036 0.4036 0.7892  3 Ge 2.52
Pd 0.1357 0.1357 0.5929  4 Ge 2.55-2.63
Pt 0.5964 0.5964 0.2108  3 Ge 2.52

## Properties
Total energy = -6.879 eV/atom
Space group = R-3m (166)
Calculated volume = 18.37 Å³ per atom
Theoretical density = 12724 kg/m³

***

Record 5
Material: Np2Ge4Pd3Pt
Method: DFT, PBE
State: relaxed

a b c (Å): 4.3020 4.3020 10.2007
angles (deg): 90.00 90.00 90.00
With the nearest neighbours (Å) after each atom.
Sites, in units of the cell vectors:
Pd 0.0000 0.5000 0.1287  5 Ge 2.43-2.52
Np 0.5000 0.0000 0.2488  8 Ge 3.27-3.33, 6 Pd 3.28-3.35, 2 Pt 3.35
Ge 0.0000 0.5000 0.3668  3 Pd 2.43-2.54, 2 Pt 2.54
Ge 0.0000 0.0000 0.0000  4 Pd 2.52
Ge 0.5000 0.5000 0.0000  4 Pd 2.52
Pd 0.5000 0.0000 0.8713  5 Ge 2.43-2.52
Ge 0.5000 0.0000 0.6332  3 Pd 2.43-2.54, 2 Pt 2.54
Pt 0.5000 0.5000 0.5000  4 Ge 2.54
Pd 0.0000 0.0000 0.5000  4 Ge 2.54
Np 0.0000 0.5000 0.7512  8 Ge 3.27-3.33, 6 Pd 3.28-3.35, 2 Pt 3.35

## Properties
Total energy = -7.039 eV/atom
Space group = P-4m2 (115)
Calculated volume = 18.88 Å³ per atom
Theoretical density = 11249 kg/m³

***

Record 6
Material: PuNp2Ge2Pd2
Method: DFT, PBE
State: relaxed

a b c (Å): 4.4408 4.4408 8.6401
angles (deg): 75.11 75.11 60.00
With the nearest neighbours (Å) after each atom.
Sites, in units of the cell vectors:
Np 0.1427 0.1427 0.5718  3 Np 2.82, 3 Pd 2.88, 1 Ge 3.04
Ge 0.7344 0.7344 0.7968  3 Pd 2.62
Np 0.8573 0.8573 0.4282  3 Np 2.82, 3 Pd 2.88, 1 Ge 3.04
Pu 0.0000 0.0000 0.0000  6 Ge 3.06, 6 Pd 3.39
Ge 0.2656 0.2656 0.2032  3 Pd 2.62
Pd 0.5768 0.5768 0.2697  3 Ge 2.62, 3 Np 2.88
Pd 0.4232 0.4232 0.7303  3 Ge 2.62, 3 Np 2.88

## Properties
Total energy = -8.939 eV/atom
Space group = R-3m (166)
Calculated volume = 20.13 Å³ per atom
Theoretical density = 12681 kg/m³

***

Record 7
Material: Np2Ge4Pd3Rh
Method: DFT, PBE
State: relaxed

a b c (Å): 4.1451 4.1451 10.8064
angles (deg): 90.00 90.00 90.00
With the nearest neighbours (Å) after each atom.
Sites, in units of the cell vectors:
Ge 0.5000 0.0000 0.6331  3 Pd 2.46-2.52, 2 Rh 2.52
Ge 0.0000 0.0000 0.0000  4 Pd 2.56
Ge 0.5000 0.5000 0.0000  4 Pd 2.56
Pd 0.0000 0.5000 0.1396  5 Ge 2.46-2.56
Np 0.5000 0.0000 0.2529  6 Pd 3.18-3.38, 8 Ge 3.18-3.43, 2 Rh 3.38
Np 0.0000 0.5000 0.7471  6 Pd 3.18-3.38, 8 Ge 3.18-3.43, 2 Rh 3.38
Pd 0.5000 0.0000 0.8604  5 Ge 2.46-2.56
Pd 0.0000 0.0000 0.5000  4 Ge 2.52
Rh 0.5000 0.5000 0.5000  4 Ge 2.52
Ge 0.0000 0.5000 0.3669  3 Pd 2.46-2.52, 2 Rh 2.52

## Properties
Total energy = -7.159 eV/atom
Space group = P-4m2 (115)
Calculated volume = 18.57 Å³ per atom
Theoretical density = 10613 kg/m³

***

Record 8
Material: NpGe2PdRh
Method: DFT, PBE
State: relaxed

a b c (Å): 4.0954 4.0954 6.1119
angles (deg): 109.57 109.57 90.00
With the nearest neighbours (Å) after each atom.
Sites, in units of the cell vectors:
Np 0.0000 0.0000 0.0000  8 Ge 3.15, 4 Rh 3.38, 4 Pd 3.38
Rh 0.7500 0.2500 0.5000  4 Ge 2.51
Pd 0.2500 0.7500 0.5000  4 Ge 2.51
Ge 0.3844 0.3844 0.7688  1 Ge 2.49, 2 Rh 2.51, 2 Pd 2.51
Ge 0.6156 0.6156 0.2312  1 Ge 2.49, 2 Pd 2.51, 2 Rh 2.51

## Properties
Total energy = -7.405 eV/atom
Space group = I-4m2 (119)
Calculated volume = 18.05 Å³ per atom
Theoretical density = 10883 kg/m³

***

Record 9
Material: Np2Ge4PdRh3
Method: DFT, PBE
State: relaxed

a b c (Å): 4.1985 4.1985 10.2914
angles (deg): 90.00 90.00 90.00
With the nearest neighbours (Å) after each atom.
Sites, in units of the cell vectors:
Ge 0.5000 0.0000 0.6359  3 Rh 2.42-2.52, 2 Pd 2.52
Rh 0.0000 0.5000 0.1293  5 Ge 2.42-2.49
Ge 0.0000 0.5000 0.3641  3 Rh 2.42-2.52, 2 Pd 2.52
Np 0.0000 0.5000 0.7598  6 Rh 3.18-3.40, 8 Ge 3.23-3.24, 2 Pd 3.40
Rh 0.5000 0.0000 0.8707  5 Ge 2.42-2.49
Rh 0.0000 0.0000 0.5000  4 Ge 2.52
Ge 0.5000 0.5000 0.0000  4 Rh 2.49
Np 0.5000 0.0000 0.2402  6 Rh 3.18-3.40, 8 Ge 3.23-3.24, 2 Pd 3.40
Ge 0.0000 0.0000 0.0000  4 Rh 2.49
Pd 0.5000 0.5000 0.5000  4 Ge 2.52

## Properties
Total energy = -7.644 eV/atom
Space group = P-4m2 (115)
Calculated volume = 18.14 Å³ per atom
Theoretical density = 10799 kg/m³

***

Record 10
Material: NpGe2PdRu
Method: DFT, PBE
State: relaxed

a b c (Å): 4.1224 4.1224 6.0700
angles (deg): 109.85 109.85 90.00
With the nearest neighbours (Å) after each atom.
Sites, in units of the cell vectors:
Ge 0.3807 0.3807 0.7614  2 Ru 2.49, 2 Pd 2.49, 1 Ge 2.54
Ge 0.6193 0.6193 0.2386  2 Ru 2.49, 2 Pd 2.49, 1 Ge 2.54
Pd 0.7500 0.2500 0.5000  4 Ge 2.49
Ru 0.2500 0.7500 0.5000  4 Ge 2.49
Np 0.0000 0.0000 0.0000  8 Ge 3.18, 4 Pd 3.37, 4 Ru 3.37

## Properties
Total energy = -7.688 eV/atom
Space group = I-4m2 (119)
Calculated volume = 18.10 Å³ per atom
Theoretical density = 10824 kg/m³

***

Record 11
Material: Np2GePdS5
Method: DFT, PBE
State: relaxed

a b c (Å): 3.8226 9.2196 10.9454
angles (deg): 90.00 90.00 101.96
With the nearest neighbours (Å) after each atom.
Sites, in units of the cell vectors:
Np 0.8891 0.7782 0.1664  7 S 2.80-2.92
Pd 0.7474 0.4948 0.6082  4 S 2.42-2.48
S 0.3257 0.6515 0.6513  2 Pd 2.42, 1 Ge 2.49
Np 0.8950 0.7900 0.7931  7 S 2.76-2.89
S 0.6359 0.2718 0.4843  1 Pd 2.43
Ge 0.5919 0.1838 0.9688  5 S 2.41-2.52
S 0.6743 0.3485 0.1513  2 Pd 2.42, 1 Ge 2.49
S 0.9684 0.9367 0.5599  2 Ge 2.41
S 0.4893 0.9785 0.2816  1 Ge 2.52
S 0.3149 0.6299 0.3104  1 Ge 2.41, 1 Pd 2.48
Ge 0.4081 0.8162 0.4688  5 S 2.41-2.52
S 0.5107 0.0215 0.7816  1 Ge 2.52
Np 0.1050 0.2100 0.2931  7 S 2.76-2.89
Np 0.1109 0.2218 0.6664  7 S 2.80-2.92
S 0.3641 0.7282 0.9843  1 Pd 2.43
S 0.6851 0.3701 0.8104  1 Ge 2.41, 1 Pd 2.48
S 0.0316 0.0633 0.0599  2 Ge 2.41
Pd 0.2526 0.5052 0.1082  4 S 2.42-2.48

## Properties
Total energy = -7.096 eV/atom
Space group = Cmc2_1 (36)
ΔE_f (raw) = -0.837 eV/atom
Calculated volume = 20.96 Å³ per atom
Theoretical density = 7158 kg/m³

***

Record 12
Material: NpGeSbPd
Method: DFT, PBE
State: relaxed

a b c (Å): 4.9238 4.9238 4.9238
angles (deg): 60.00 60.00 60.00
With the nearest neighbours (Å) after each atom.
Sites, in units of the cell vectors:
Pd 0.5000 0.5000 0.5000  4 Ge 3.02, 4 Sb 3.02
Np 0.0000 0.0000 0.0000  4 Ge 3.02, 4 Sb 3.02
Ge 0.2500 0.2500 0.2500  4 Np 3.02, 4 Pd 3.02
Sb 0.7500 0.7500 0.7500  4 Pd 3.02, 4 Np 3.02

## Properties
Total energy = -6.814 eV/atom
Space group = F-43m (216)
ΔE_f (raw) = -0.095 eV/atom
Calculated volume = 21.10 Å³ per atom
Theoretical density = 10580 kg/m³